Record 1
First-principles (GGA-PBE) data for TbErMg2Pb2 after structural relaxation, as listed in OQMD via LeMat-Bulk.

Results
calculated total energy: -3.691 eV per atom
total moment: 0.004 μB/f.u.

Structure (POSCAR):
```
TbErMg2Pb2
1.0
-2.2169 2.2169 7.9922
2.2169 -2.2169 7.9922
2.2169 2.2169 -7.9922
Tb Er Mg Pb
1 1 2 2
direct
0.0000 0.0000 0.0000
0.3302 0.3302 0.0000
0.1657 0.6657 0.5000
0.6657 0.1657 0.5000
0.5272 0.5272 0.0000
0.8030 0.8030 0.0000
```

Record 2
First-principles (GGA-PBE) data for Cu15Ge after structural relaxation, as listed in OQMD via LeMat-Bulk.

Results
calculated total energy: -3.711 eV per atom
offset from the most stable computed form: 16 meV/atom

Structure (POSCAR):
```
Cu15Ge
1.0
4.4307 0.0000 0.0000
0.0000 34.3426 0.0000
-1.4967 0.0000 4.1702
Cu Ge
30 2
direct
0.0000 0.0186 0.2500
0.0000 0.0562 0.7500
0.0000 0.0934 0.2500
0.0000 0.1310 0.7500
0.0000 0.1682 0.2500
0.0000 0.2055 0.7500
0.0000 0.2441 0.2500
0.0000 0.2800 0.7500
0.0000 0.7200 0.2500
0.0000 0.7559 0.7500
0.0000 0.7945 0.2500
0.0000 0.8318 0.7500
0.0000 0.8690 0.2500
0.0000 0.9066 0.7500
0.0000 0.9438 0.2500
0.0000 0.9814 0.7500
0.5000 0.0186 0.7500
0.5000 0.0560 0.2500
0.5000 0.0934 0.7500
0.5000 0.1306 0.2500
0.5000 0.1682 0.7500
0.5000 0.2048 0.2500
0.5000 0.2440 0.7500
0.5000 0.7560 0.2500
0.5000 0.7952 0.7500
0.5000 0.8318 0.2500
0.5000 0.8694 0.7500
0.5000 0.9066 0.2500
0.5000 0.9440 0.7500
0.5000 0.9814 0.2500
0.5000 0.2808 0.2500
0.5000 0.7192 0.7500
```